Compound: Li3MnCoO5
Source: Alexandria
Functional: PBE with a Hubbard U
Structure: relaxed Values from VASP.

Computed properties:
The total energy comes out at -5.7177 eV per atom. As for the space group: C2/m (12). As for the density of states at the Fermi level: 2.5 states/eV/f.u. The value obtained for the offset from the most stable computed form is 245 meV per atom. Its total magnetic moment is 2.32 μB/cell.

Cell and atoms, written as Quantum ESPRESSO input:
```
&SYSTEM
  ibrav = 0, nat = 20, ntyp = 4
/
ATOMIC_SPECIES
Li 6.94 Li.upf
Mn 54.94 Mn.upf
Co 58.93 Co.upf
O 16.00 O.upf
ATOMIC_POSITIONS crystal
Li 0.000 0.000 0.000
Li 0.094 0.094 0.297
Li 0.301 0.301 0.896
Li 0.500 0.500 0.500
Li 0.699 0.699 0.104
Li 0.906 0.906 0.703
Mn 0.203 0.203 0.599
Mn 0.797 0.797 0.401
Co 0.398 0.398 0.205
Co 0.602 0.602 0.795
O 0.051 0.051 0.165
O 0.149 0.149 0.446
O 0.255 0.255 0.752
O 0.350 0.350 0.055
O 0.446 0.446 0.357
O 0.554 0.554 0.643
O 0.650 0.650 0.945
O 0.745 0.745 0.248
O 0.851 0.851 0.554
O 0.949 0.949 0.835
CELL_PARAMETERS angstrom
2.474 -1.430 0.000
2.474 1.430 0.000
-1.575 0.000 24.564
```